ZnRh2Se4 | PBE | optimized geometry

The space-group type is Fd-3m, No. 227. The value obtained for the raw formation energy is -47 kJ/mol of atoms.

Structure (POSCAR):
```
ZnRh2Se4
1.0
-3.960 -5.757 2.633
5.699 -1.892 4.439
-1.078 -0.740 7.352
Zn Rh Se
2 4 8
Direct
0.875 0.625 0.750 Zn
0.125 0.375 0.250 Zn
0.500 0.500 0.500 Rh
0.500 0.000 0.500 Rh
0.000 0.000 0.000 Rh
0.500 0.000 0.000 Rh
0.263 0.789 0.974 Se
0.737 0.211 0.026 Se
0.289 0.763 0.474 Se
0.263 0.237 0.526 Se
0.263 0.237 0.974 Se
0.737 0.763 0.474 Se
0.711 0.237 0.526 Se
0.737 0.763 0.026 Se
```